Below is a geometry-optimized Rb2In3F10 structure, with properties calculated at the PBE-GGA level.

Results
Formation energy from raw total energies, eV/atom: -2.566

Geometry as CIF:
```
data_Rb2In3F10
_chemical_formula_sum 'Rb8 In12 F40'
_cell_length_a 20.392
_cell_length_b 6.281
_cell_length_c 9.342
_cell_angle_alpha 90.00
_cell_angle_beta 113.38
_cell_angle_gamma 90.00
_symmetry_space_group_name_H-M 'C 1 2/m 1'
_symmetry_Int_Tables_number 12
_symmetry_space_group_name_Hall '-C 2y'
loop_
_atom_site_label
_atom_site_type_symbol
_atom_site_fract_x
_atom_site_fract_y
_atom_site_fract_z
Rb1 Rb 0.118 0.000 0.226
Rb2 Rb 0.203 0.000 0.836
In1 In 0.000 0.279 0.500
In2 In 0.084 0.500 0.993
In3 In 0.178 0.500 0.504
F1 F 0.000 0.288 0.000
F2 F 0.030 0.000 0.652
F3 F 0.037 0.500 0.751
F4 F 0.109 0.244 0.495
F5 F 0.131 0.500 0.255
F6 F 0.154 0.258 0.017
F7 F 0.224 0.500 0.740
F8 F 0.250 0.250 0.500
```

---

Below is a geometry-optimized RbIn2F6 structure, with properties calculated at the PBE-GGA level.

Results
Formation energy from raw total energies, eV/atom: -2.463

Geometry as CIF:
```
data_RbIn2F6
_chemical_formula_sum 'Rb1 In2 F6'
_cell_length_a 6.0061
_cell_length_b 6.0061
_cell_length_c 5.8611
_cell_angle_alpha 90.00
_cell_angle_beta 90.00
_cell_angle_gamma 120.00
_symmetry_space_group_name_H-M 'P -3 1 m'
_symmetry_Int_Tables_number 162
_symmetry_space_group_name_Hall '-P 3 2'
loop_
_atom_site_label
_atom_site_type_symbol
_atom_site_fract_x
_atom_site_fract_y
_atom_site_fract_z
Rb1 Rb 0.0000 0.0000 0.0000
In1 In 0.3333 0.6667 0.5000
F1 F 0.0000 0.3830 0.6995
```

---

Below is a geometry-optimized RbInF5 structure, with properties calculated at the PBE-GGA level.

Results
Formation energy from raw total energies, eV/atom: -2.178

Geometry as CIF:
```
data_RbInF5
_chemical_formula_sum 'Rb4 In4 F20'
_cell_length_a 10.602
_cell_length_b 7.810
_cell_length_c 8.482
_cell_angle_alpha 90.00
_cell_angle_beta 113.56
_cell_angle_gamma 90.00
_symmetry_space_group_name_H-M 'C 1 2/c 1'
_symmetry_Int_Tables_number 15
_symmetry_space_group_name_Hall '-C 2yc'
loop_
_atom_site_label
_atom_site_type_symbol
_atom_site_fract_x
_atom_site_fract_y
_atom_site_fract_z
Rb1 Rb 0.000 0.039 0.250
In1 In 0.000 0.500 0.000
F1 F 0.000 0.445 0.250
F2 F 0.010 0.237 0.970
F3 F 0.213 0.476 0.609
```

---

Below is a geometry-optimized RbIn2F4 structure, with properties calculated at the PBE-GGA level.

Results
Formation energy from raw total energies, eV/atom: -1.854

Geometry as CIF:
```
data_RbIn2F4
_chemical_formula_sum 'Rb2 In4 F8'
_cell_length_a 5.232
_cell_length_b 5.232
_cell_length_c 12.531
_cell_angle_alpha 90.00
_cell_angle_beta 90.00
_cell_angle_gamma 90.00
_symmetry_space_group_name_H-M 'I 4/m m m'
_symmetry_Int_Tables_number 139
_symmetry_space_group_name_Hall '-I 4 2'
loop_
_atom_site_label
_atom_site_type_symbol
_atom_site_fract_x
_atom_site_fract_y
_atom_site_fract_z
Rb1 Rb 0.000 0.000 0.000
In1 In 0.000 0.000 0.386
F1 F 0.000 0.000 0.222
F2 F 0.000 0.500 0.000
```

---

Below is a geometry-optimized Rb3InF4 structure, with properties calculated at the PBE-GGA level.

Results
Formation energy from raw total energies, eV/atom: -2.427
Energy above the lowest structure with this stoichiometry, eV per atom: 0.0000

Geometry as CIF:
```
data_Rb3InF4
_chemical_formula_sum 'Rb6 In2 F8'
_cell_length_a 11.146
_cell_length_b 5.809
_cell_length_c 5.815
_cell_angle_alpha 90.00
_cell_angle_beta 90.00
_cell_angle_gamma 90.00
_symmetry_space_group_name_H-M 'P m n 21'
_symmetry_Int_Tables_number 31
_symmetry_space_group_name_Hall 'P 2ac -2'
loop_
_atom_site_label
_atom_site_type_symbol
_atom_site_fract_x
_atom_site_fract_y
_atom_site_fract_z
Rb1 Rb 0.000 0.240 0.000
Rb2 Rb 0.250 0.251 0.508
In1 In 0.000 0.736 0.494
F1 F 0.000 0.124 0.504
F2 F 0.000 0.742 0.882
F3 F 0.248 0.755 0.514
```

---

Below is a geometry-optimized Rb2In3F11 structure, with properties calculated at the PBE-GGA level.

Results
Formation energy from raw total energies, eV/atom: -2.634

Geometry as CIF:
```
data_Rb2In3F11
_chemical_formula_sum 'Rb4 In6 F22'
_cell_length_a 6.740
_cell_length_b 8.267
_cell_length_c 10.172
_cell_angle_alpha 90.00
_cell_angle_beta 108.12
_cell_angle_gamma 90.00
_symmetry_space_group_name_H-M 'P 1 21/m 1'
_symmetry_Int_Tables_number 11
_symmetry_space_group_name_Hall '-P 2yb'
loop_
_atom_site_label
_atom_site_type_symbol
_atom_site_fract_x
_atom_site_fract_y
_atom_site_fract_z
Rb1 Rb 0.085 0.250 0.208
Rb2 Rb 0.102 0.750 0.184
In1 In 0.281 0.003 0.565
In2 In 0.500 0.000 0.000
F1 F 0.004 0.524 0.380
F2 F 0.212 0.049 0.019
F3 F 0.255 0.250 0.511
F4 F 0.294 0.750 0.603
F5 F 0.381 0.050 0.785
F6 F 0.383 0.524 0.379
F7 F 0.396 0.750 0.964
```